A relaxed structure of Ac3PrTe6, computed with PBE.

## Properties
Its energy above the lowest structure with this stoichiometry is 0.008 eV/atom. As for the total energy: -5.095 eV/atom.

```
data_Ac3PrTe6
_symmetry_space_group_name_H-M 'P 1 21/c 1'
_symmetry_Int_Tables_number 14
_symmetry_space_group_name_Hall '-P 2ybc'
_cell_length_a 7.812
_cell_length_b 8.731
_cell_length_c 13.968
_cell_angle_alpha 90.00
_cell_angle_beta 122.18
_cell_angle_gamma 90.00
loop_
_atom_site_label
_atom_site_type_symbol
_atom_site_fract_x
_atom_site_fract_y
_atom_site_fract_z
Ac1 Ac 0.000 0.000 0.000
Ac2 Ac 0.303 0.110 0.755
Pr1 Pr 0.500 0.000 0.500
Te1 Te 0.097 0.057 0.258
Te2 Te 0.253 0.678 0.082
Te3 Te 0.417 0.183 0.077
```